1.
Entry from the Alexandria database: crystalline ZrHgSeBr2 at its relaxed geometry (PBE-GGA).

Lattice parameters (Å, degrees): 5.3889 5.3889 5.3881 90.00 90.00 90.00
Element x y z (fractional)
Br: 0.0000 0.5000 0.0000
Br: 0.5000 0.0000 0.0000
Se: 0.0000 0.0000 0.5000
Hg: 0.0000 0.0000 0.0000
Zr: 0.5000 0.5000 0.5000

Results
N(E_F)   3.66 states/eV per cell
Relative energy among the computed polymorphs   1196 meV/atom
E_tot   -2.74 eV/atom


2.
Entry from the Alexandria database: crystalline ZrHgSe2Br at its relaxed geometry (PBE-GGA).

Lattice parameters (Å, degrees): 5.2405 5.2405 5.4489 90.00 90.00 90.00
Element x y z (fractional)
Br: 0.0000 0.0000 0.5000
Se: 0.0000 0.5000 0.0000
Se: 0.5000 0.0000 0.0000
Hg: 0.5000 0.5000 0.5000
Zr: 0.0000 0.0000 0.0000

Results
N(E_F)   3.26 states/eV per cell
Relative energy among the computed polymorphs   0 meV/atom
E_tot   -4.12 eV/atom


Short version: raw formation energy = 1.99, -3.11 eV per formula unit, in the order given.